Entry from Alexandria: a relaxed structure of Rb3Dy3AlTe8 (PBE-GGA).

a = 15.071 Å, b = 8.709 Å, c = 10.223 Å
α = 90.00°, β = 119.41°, γ = 90.00°
Space group C2/m (No. 12)
Unique sites:
Rb (0.000, 0.000, 0.000) [2 per cell]
Rb (0.250, 0.250, 0.000) [4 per cell]
Dy (0.000, 0.500, 0.500) [2 per cell]
Dy (0.250, 0.250, 0.500) [4 per cell]
Al (0.000, 0.000, 0.500) [2 per cell]
Te (0.015, 0.234, 0.312) [8 per cell]
Te (0.219, 0.000, 0.688) [4 per cell]
Te (0.234, 0.500, 0.701) [4 per cell]

Computed properties:
Raw formation energy (eV/atom): -1.103
Mass density (Mg/m³): 5.1

---

Entry from Alexandria: a relaxed structure of DyAlRe (PBE-GGA).

a = 5.354 Å, b = 5.564 Å, c = 7.622 Å
α = 90.00°, β = 90.00°, γ = 90.00°
Space group Imma (No. 74)
Unique sites:
Dy (0.000, 0.250, 0.117) [4 per cell]
Al (0.000, 0.000, 0.500) [4 per cell]
Re (0.250, 0.250, 0.750) [4 per cell]

Computed properties:
Mass density (Mg/m³): 11.0
E_form (kcal/mol of atoms): -8.327
E above lowest polymorph (kcal/mol of atoms): 0.00

---

Entry from Alexandria: a relaxed structure of Dy4Al12Re (PBE-GGA).

a = 8.675 Å, b = 8.675 Å, c = 8.675 Å
α = 90.00°, β = 90.00°, γ = 90.00°
Space group Im-3m (No. 229)
Unique sites:
Dy (0.250, 0.250, 0.250) [8 per cell]
Al (0.000, 0.000, 0.290) [12 per cell]
Al (0.000, 0.250, 0.500) [12 per cell]
Re (0.000, 0.000, 0.000) [2 per cell]

Computed properties:
Mass density (Mg/m³): 5.9
E_form (kcal/mol of atoms): -9.577

---

Entry from Alexandria: a relaxed structure of DyAlRe (PBE-GGA).

a = 4.493 Å, b = 13.812 Å, c = 4.894 Å
α = 90.00°, β = 90.00°, γ = 90.00°
Space group Cmcm (No. 63)
Unique sites:
Dy (0.000, 0.107, 0.250) [4 per cell]
Al (0.000, 0.333, 0.250) [4 per cell]
Re (0.000, 0.500, 0.000) [4 per cell]

Computed properties:
Mass density (Mg/m³): 8.2
E_form (kcal/mol of atoms): 5.287
E above lowest polymorph (kcal/mol of atoms): 13.61

---

Entry from Alexandria: a relaxed structure of DyAl11Re (PBE-GGA).

a = 5.278 Å, b = 12.711 Å, c = 7.094 Å
α = 90.00°, β = 111.35°, γ = 90.00°
Space group C2/m (No. 12)
Unique sites:
Dy (0.000, 0.000, 0.000) [2 per cell]
Al (0.000, 0.000, 0.500) [2 per cell]
Al (0.106, 0.392, 0.221) [8 per cell]
Al (0.192, 0.173, 0.359) [8 per cell]
Al (0.250, 0.250, 0.000) [4 per cell]
Re (0.000, 0.500, 0.500) [2 per cell]

Computed properties:
Mass density (Mg/m³): 4.8
E_form (kcal/mol of atoms): -4.540

---

Entry from Alexandria: a relaxed structure of Dy2Al3Re (PBE-GGA).

a = 5.5246 Å, b = 5.5246 Å, c = 13.2380 Å
α = 90.00°, β = 90.00°, γ = 120.00°
Space group R-3m (No. 166, hexagonal axes)
Unique sites:
Dy (0.0000, 0.0000, 0.1284) [6 per cell]
Al (0.0000, 0.5000, 0.0000) [9 per cell]
Re (0.0000, 0.0000, 0.5000) [3 per cell]

Computed properties:
Mass density (Mg/m³): 8.4
E_form (kcal/mol of atoms): -9.629

---

Entry from Alexandria: a relaxed structure of DyAl2Re (PBE-GGA).

a = 4.2849 Å, b = 4.2849 Å, c = 14.9091 Å
α = 90.00°, β = 90.00°, γ = 120.00°
Space group R-3m (No. 166, hexagonal axes)
Unique sites:
Dy (0.0000, 0.0000, 0.0000) [3 per cell]
Al (0.0000, 0.0000, 0.2112) [6 per cell]
Re (0.0000, 0.0000, 0.5000) [3 per cell]

Computed properties:
Mass density (Mg/m³): 8.5
E_form (kcal/mol of atoms): -3.378

---

Entry from Alexandria: a relaxed structure of Dy2AlRe (PBE-GGA).

a = 3.0556 Å, b = 3.0556 Å, c = 32.3778 Å
α = 90.00°, β = 90.00°, γ = 120.00°
Space group R-3m (No. 166, hexagonal axes)
Unique sites:
Dy (0.0000, 0.0000, 0.0864) [6 per cell]
Al (0.0000, 0.0000, 0.5000) [3 per cell]
Re (0.0000, 0.0000, 0.0000) [3 per cell]

Computed properties:
Mass density (Mg/m³): 10.2
E_form (kcal/mol of atoms): 14.202

---

Entry from Alexandria: a relaxed structure of Dy3Al3Rh2 (PBE-GGA).

a = 7.780 Å, b = 15.262 Å, c = 5.650 Å
α = 90.00°, β = 90.00°, γ = 90.00°
Space group Pnma (No. 62)
Unique sites:
Dy (0.033, 0.109, 0.104) [8 per cell]
Dy (0.168, 0.250, 0.622) [4 per cell]
Al (0.167, 0.034, 0.594) [8 per cell]
Al (0.175, 0.750, 0.616) [4 per cell]
Rh (0.123, 0.608, 0.369) [8 per cell]

Computed properties:
Mass density (Mg/m³): 7.7
E_form (kcal/mol of atoms): -17.112

---

Entry from Alexandria: a relaxed structure of Dy2Al8Rh (PBE-GGA).

a = 4.277 Å, b = 4.277 Å, c = 11.179 Å
α = 90.00°, β = 90.00°, γ = 90.00°
Space group P4/mmm (No. 123)
Unique sites:
Dy (0.000, 0.000, 0.190) [2 per cell]
Al (0.000, 0.500, 0.000) [2 per cell]
Al (0.000, 0.500, 0.379) [4 per cell]
Al (0.500, 0.500, 0.194) [2 per cell]
Rh (0.000, 0.000, 0.500) [1 per cell]

Computed properties:
Mass density (Mg/m³): 5.2
E_form (kcal/mol of atoms): -12.622

---

Entry from Alexandria: a relaxed structure of Dy4Al12Rh (PBE-GGA).

a = 8.633 Å, b = 8.633 Å, c = 8.633 Å
α = 90.00°, β = 90.00°, γ = 90.00°
Space group Im-3m (No. 229)
Unique sites:
Dy (0.250, 0.250, 0.250) [8 per cell]
Al (0.000, 0.000, 0.287) [12 per cell]
Al (0.000, 0.250, 0.500) [12 per cell]
Rh (0.000, 0.000, 0.000) [2 per cell]

Computed properties:
Mass density (Mg/m³): 5.6
E_form (kcal/mol of atoms): -12.732

---

Entry from Alexandria: a relaxed structure of DyAl2Rh (PBE-GGA).

a = 15.067 Å, b = 7.131 Å, c = 5.596 Å
α = 90.00°, β = 90.00°, γ = 90.00°
Space group Pnma (No. 62)
Unique sites:
Dy (0.101, 0.250, 0.236) [4 per cell]
Dy (0.138, 0.750, 0.458) [4 per cell]
Al (0.042, 0.059, 0.753) [8 per cell]
Al (0.211, 0.551, 0.934) [8 per cell]
Rh (0.071, 0.750, 0.989) [4 per cell]
Rh (0.189, 0.250, 0.700) [4 per cell]

Computed properties:
Mass density (Mg/m³): 7.1
E_form (kcal/mol of atoms): -19.079

---

Entry from Alexandria: a relaxed structure of Dy2Al9Rh3 (PBE-GGA).

a = 13.023 Å, b = 7.613 Å, c = 9.478 Å
α = 90.00°, β = 90.00°, γ = 90.00°
Space group Cmcm (No. 63)
Unique sites:
Dy (0.162, 0.166, 0.250) [8 per cell]
Al (0.000, 0.129, 0.750) [4 per cell]
Al (0.000, 0.333, 0.050) [8 per cell]
Al (0.105, 0.445, 0.750) [8 per cell]
Al (0.167, 0.168, 0.575) [16 per cell]
Rh (0.000, 0.000, 0.000) [4 per cell]
Rh (0.172, 0.500, 0.000) [8 per cell]

Computed properties:
Mass density (Mg/m³): 6.2
E_form (kcal/mol of atoms): -19.292

---

Entry from Alexandria: a relaxed structure of Dy2Al3Rh (PBE-GGA).

a = 5.5055 Å, b = 5.5055 Å, c = 13.1855 Å
α = 90.00°, β = 90.00°, γ = 120.00°
Space group R-3m (No. 166, hexagonal axes)
Unique sites:
Dy (0.0000, 0.0000, 0.1255) [6 per cell]
Al (0.0000, 0.5000, 0.0000) [9 per cell]
Rh (0.0000, 0.0000, 0.5000) [3 per cell]

Computed properties:
Mass density (Mg/m³): 7.3
E_form (kcal/mol of atoms): -16.241

---

Entry from Alexandria: a relaxed structure of DyAl4Rh (PBE-GGA).

a = 6.494 Å, b = 6.494 Å, c = 11.417 Å
α = 90.00°, β = 90.00°, γ = 90.00°
Space group I4/mcm (No. 140)
Unique sites:
Dy (0.000, 0.000, 0.000) [4 per cell]
Al (0.149, 0.351, 0.165) [16 per cell]
Rh (0.000, 0.000, 0.250) [4 per cell]

Computed properties:
Mass density (Mg/m³): 5.2
E_form (kcal/mol of atoms): -8.865

---

Entry from Alexandria: a relaxed structure of DyAl3Rh (PBE-GGA).

a = 8.185 Å, b = 5.454 Å, c = 8.312 Å
α = 90.00°, β = 99.79°, γ = 90.00°
Space group P2_1/c (No. 14)
Unique sites:
Dy (0.130, 0.116, 0.213) [4 per cell]
Al (0.136, 0.625, 0.054) [4 per cell]
Al (0.287, 0.603, 0.359) [4 per cell]
Al (0.400, 0.161, 0.558) [4 per cell]
Rh (0.453, 0.650, 0.652) [4 per cell]

Computed properties:
Mass density (Mg/m³): 6.3
E_form (kcal/mol of atoms): -13.785
E above lowest polymorph (kcal/mol of atoms): 0.00

---

Entry from Alexandria: a relaxed structure of DyAl2Rh (PBE-GGA).

a = 3.130 Å, b = 3.130 Å, c = 7.326 Å
α = 90.00°, β = 90.00°, γ = 90.00°
Space group P4/mmm (No. 123)
Unique sites:
Dy (0.000, 0.000, 0.000) [1 per cell]
Al (0.500, 0.500, 0.308) [2 per cell]
Rh (0.000, 0.000, 0.500) [1 per cell]

Computed properties:
Mass density (Mg/m³): 7.4
E_form (kcal/mol of atoms): -15.272

---

Entry from Alexandria: a relaxed structure of Dy2AlRh (PBE-GGA).

a = 3.3030 Å, b = 3.3030 Å, c = 29.6694 Å
α = 90.00°, β = 90.00°, γ = 120.00°
Space group R-3m (No. 166, hexagonal axes)
Unique sites:
Dy (0.0000, 0.0000, 0.0857) [6 per cell]
Al (0.0000, 0.0000, 0.5000) [3 per cell]
Rh (0.0000, 0.0000, 0.0000) [3 per cell]

Computed properties:
Mass density (Mg/m³): 8.1
E_form (kcal/mol of atoms): 1.229
E above lowest polymorph (kcal/mol of atoms): 15.99

---

Entry from Alexandria: a relaxed structure of DyAl3Rh4 (PBE-GGA).

a = 4.3631 Å, b = 4.3631 Å, c = 22.2052 Å
α = 90.00°, β = 90.00°, γ = 120.00°
Space group R-3m (No. 166, hexagonal axes)
Unique sites:
Dy (0.0000, 0.0000, 0.0000) [3 per cell]
Al (0.0000, 0.0000, 0.2446) [6 per cell]
Al (0.0000, 0.0000, 0.5000) [3 per cell]
Rh (0.0000, 0.0000, 0.1295) [6 per cell]
Rh (0.0000, 0.0000, 0.3868) [6 per cell]

Computed properties:
Mass density (Mg/m³): 8.9
E_form (kcal/mol of atoms): -22.737

---

Entry from Alexandria: a relaxed structure of Dy3Al9Rh2 (PBE-GGA).

a = 4.312 Å, b = 9.680 Å, c = 12.345 Å
α = 90.00°, β = 90.00°, γ = 90.00°
Space group Immm (No. 71)
Unique sites:
Dy (0.000, 0.000, 0.000) [2 per cell]
Dy (0.000, 0.000, 0.296) [4 per cell]
Al (0.000, 0.283, 0.130) [8 per cell]
Al (0.000, 0.362, 0.350) [8 per cell]
Al (0.000, 0.500, 0.000) [2 per cell]
Rh (0.000, 0.178, 0.500) [4 per cell]

Computed properties:
Mass density (Mg/m³): 6.0
E_form (kcal/mol of atoms): -15.452